[1]
Below is crystalline RbHfSbBr2 at its relaxed geometry, with properties calculated at the GGA-PBE level.

Lattice parameters (Å, degrees): 5.764 5.764 6.223 90.00 90.00 90.00
Atoms (fractional coordinates):
Rb 0.000 0.000 0.000
Hf 0.500 0.500 0.500
Sb 0.000 0.000 0.500
Br 0.000 0.500 0.000
Br 0.500 0.000 0.000

Properties
Its formation energy without anion corrections is 0.8440 eV/atom. The value obtained for the magnetic moment is 1.02 μB/cell. The value obtained for the volume is 41.36 Å³ per atom. For the final energy, the calculation gives -0.1041 hartree per atom.

[2]
Below is crystalline RbHfSeBr2 at its relaxed geometry, with properties calculated at the GGA-PBE level.

Lattice parameters (Å, degrees): 5.408 5.408 5.199 90.00 90.00 90.00
Atoms (fractional coordinates):
Rb 0.000 0.000 0.000
Hf 0.500 0.500 0.500
Se 0.500 0.500 0.000
Br 0.000 0.500 0.500
Br 0.500 0.000 0.500

Properties
Its formation energy without anion corrections is -1.2098 eV/atom. The value obtained for the magnetic moment is 0.00 μB/cell. The value obtained for the volume is 30.41 Å³ per atom. For the relative energy among the computed polymorphs, the calculation gives 0.0 meV/atom. For the final energy, the calculation gives -0.1749 hartree per atom.